# PBE+U PmNiTeO6, optimized geometry
data_PmNiTeO6
_space_group_name_H-M_alt 'P -3 1 c'
_space_group_IT_number 163
_space_group_name_Hall '-P 3 2c'
_cell_length_a 5.1671
_cell_length_b 5.1671
_cell_length_c 10.1940
_cell_angle_alpha 90.00
_cell_angle_beta 90.00
_cell_angle_gamma 120.00
loop_
_atom_site_label
_atom_site_type_symbol
_atom_site_fract_x
_atom_site_fract_y
_atom_site_fract_z
Pm1 Pm 0.0000 0.0000 0.0000
Ni1 Ni 0.3333 0.6667 0.2500
Te1 Te 0.3333 0.6667 0.7500
O1 O 0.0087 0.3719 0.6419
# E, eV/atom: -6.14
# Volume, Å³/f.u.: 117.85